# 1
First-principles (GGA-PBE) data for an optimized crystal structure of NdSm2YN4, as listed in Alexandria via LeMat-Bulk.

Output
Space group: P2/m (10)

a b c (Å): 3.5797 6.1975 6.1958
angles (deg): 109.42 90.00 90.00
Closest atoms and distances in Å follow each position.
Sites, in units of the cell vectors:
Sm 0.0000 0.5000 0.5000  6 N 2.52
Sm 0.5000 0.0000 0.5000  6 N 2.55
Nd 0.0000 0.0000 0.0000  6 N 2.54-2.55
N 0.5000 0.2548 0.2507  1 Y 2.51, 3 Sm 2.52-2.55, 2 Nd 2.55
N 0.5000 0.7452 0.7493  1 Y 2.51, 3 Sm 2.52-2.55, 2 Nd 2.55
N 0.0000 0.7449 0.2475  2 Y 2.51, 3 Sm 2.52-2.55, 1 Nd 2.54
N 0.0000 0.2551 0.7525  2 Y 2.51, 3 Sm 2.52-2.55, 1 Nd 2.54
Y 0.5000 0.5000 0.0000  6 N 2.51


# 2
First-principles (GGA-PBE) data for an optimized crystal structure of NdSm2ZnN, as listed in Alexandria via LeMat-Bulk.

Output
Space group: P4/mmm (123)

a b c (Å): 4.9080 4.9080 5.0013
angles (deg): 90.00 90.00 90.00
Closest atoms and distances in Å follow each position.
Sites, in units of the cell vectors:
Sm 0.0000 0.5000 0.0001  2 N 2.45
Sm 0.5000 0.0000 0.0001  2 N 2.45
Nd 0.0000 0.0000 0.5001  2 N 2.50
Zn 0.5000 0.5000 0.4996  4 Nd 3.47, 8 Sm 3.50-3.51
N 0.0000 0.0000 0.0002  4 Sm 2.45, 2 Nd 2.50


# 3
First-principles (GGA-PBE) data for an optimized crystal structure of Nd5Sn2N2, as listed in Alexandria via LeMat-Bulk.

Output
Space group: P4/mmm (123)

a b c (Å): 4.9308 4.9308 9.8504
angles (deg): 90.00 90.00 90.00
Closest atoms and distances in Å follow each position.
Sites, in units of the cell vectors:
Nd 0.0000 0.5000 0.2158  2 N 2.50
Nd 0.5000 0.0000 0.7842  2 N 2.50
Nd 0.0000 0.5000 0.7842  2 N 2.50
Nd 0.5000 0.5000 0.5000  2 N 2.39
Nd 0.5000 0.0000 0.2158  2 N 2.50
Sn 0.0000 0.0000 0.5000  12 Nd 3.49-3.73
Sn 0.0000 0.0000 0.0000  8 Nd 3.26
N 0.5000 0.5000 0.2572  5 Nd 2.39-2.50
N 0.5000 0.5000 0.7428  5 Nd 2.39-2.50


Table of uncorrected formation energy (meV per atom), in record order: -1490.5; -662.5; -936.7
Table of DFT total energy (eV per atom), in record order: -8.237; -5.424; -6.325